(1)
An optimized crystal structure of Tb2TmAg. Source: Alexandria, functional PBE-GGA.

Cell lengths 10.955, 6.281, 6.430 Å; angles 90.00, 94.81, 90.00 degrees
Sites, in units of the cell vectors:
Tb 0.221 0.000 0.074
Tb 0.221 0.000 0.574
Tb 0.279 0.500 0.426
Tb 0.279 0.500 0.926
Tb 0.721 0.500 0.074
Tb 0.721 0.500 0.574
Tb 0.779 0.000 0.426
Tb 0.779 0.000 0.926
Tm 0.000 0.324 0.250
Tm 0.000 0.676 0.750
Tm 0.500 0.176 0.750
Tm 0.500 0.824 0.250
Ag 0.000 0.206 0.750
Ag 0.000 0.794 0.250
Ag 0.500 0.294 0.250
Ag 0.500 0.706 0.750

Output
* energy of formation from the pure elements: -0.19 eV per formula unit
* distance to the lowest polymorph of the same formula: 85 meV/atom
* final energy: -4.193 eV per atom

(2)
An optimized crystal structure of NbPt3Rh. Source: Alexandria, functional PBE-GGA.

Cell lengths 10.246, 10.246, 3.929 Å; angles 90.00, 90.00, 157.69 degrees
Sites, in units of the cell vectors:
Nb 0.151 0.849 0.750
Nb 0.849 0.151 0.250
Pt 0.055 0.945 0.250
Pt 0.250 0.750 0.250
Pt 0.449 0.551 0.250
Pt 0.551 0.449 0.750
Pt 0.750 0.250 0.750
Pt 0.945 0.055 0.750
Rh 0.353 0.647 0.750
Rh 0.647 0.353 0.250

Output
* energy of formation from the pure elements: -2.71 eV per formula unit
* distance to the lowest polymorph of the same formula: 0 meV/atom
* final energy: -7.651 eV per atom

(3)
An optimized crystal structure of TiInNi6. Source: Alexandria, functional PBE-GGA.

Cell lengths 5.241, 5.241, 4.182 Å; angles 90.00, 90.00, 120.00 degrees
Sites, in units of the cell vectors:
Ti 0.000 0.000 0.000
In 0.333 0.667 0.500
Ni 0.340 0.170 0.500
Ni 0.509 0.018 0.000
Ni 0.509 0.491 0.000
Ni 0.830 0.170 0.500
Ni 0.830 0.660 0.500
Ni 0.982 0.491 0.000

Output
* energy of formation from the pure elements: -1.78 eV per formula unit
* distance to the lowest polymorph of the same formula: 44 meV/atom
* final energy: -5.888 eV per atom